Entry 1:
The following is a GGA-PBE calculation of a relaxed structure of Sm2DyMg3, from the Alexandria database.

**Mass density**: 5.291 g cm⁻³
**SG**: P4/mmm, No. 123
**Energy of formation from the pure elements**: -54 kJ/mol of formula units
**DFT total energy**: -19.385 eV for the cell shown
**Total magnetization**: 0.00 Bohr magnetons per cell
**Volume**: 168.3 Å³ per cell

a = 3.8247 Å, b = 3.8247 Å, c = 11.5023 Å
α = 90.00°, β = 90.00°, γ = 90.00°
Closest atoms and distances in Å follow each position.
Fractional positions:
Sm (0.0000, 0.0000, 0.1692)  8 Mg 3.33
Sm (0.0000, 0.0000, 0.8308)  8 Mg 3.33
Dy (0.0000, 0.0000, 0.5000)  8 Mg 3.28
Mg (0.5000, 0.5000, 0.0000)  8 Sm 3.33
Mg (0.5000, 0.5000, 0.3381)  4 Dy 3.28, 4 Sm 3.33
Mg (0.5000, 0.5000, 0.6619)  4 Dy 3.28, 4 Sm 3.33

---

Entry 2:
The following is a GGA-PBE calculation of a relaxed structure of LiAcHN, from the Alexandria database.

**Mass density**: 7.134 g cm⁻³
**SG**: P4/nmm, No. 129
**DFT total energy**: -41.610 eV for the cell shown
**Total magnetization**: 0.00 Bohr magnetons per cell
**Volume**: 115.9 Å³ per cell

a = 3.8576 Å, b = 3.8576 Å, c = 7.7880 Å
α = 90.00°, β = 90.00°, γ = 90.00°
Closest atoms and distances in Å follow each position.
Fractional positions:
Li (0.2500, 0.2500, 0.0908)  4 H 2.05, 1 N 2.07
Li (0.7500, 0.7500, 0.9092)  4 H 2.05, 1 N 2.07
Ac (0.2500, 0.2500, 0.6735)  5 N 2.47-2.74
Ac (0.7500, 0.7500, 0.3265)  5 N 2.47-2.74
H (0.2500, 0.7500, 0.0000)  4 Li 2.05
H (0.7500, 0.2500, 0.0000)  4 Li 2.05
N (0.2500, 0.2500, 0.3561)  1 Li 2.07
N (0.7500, 0.7500, 0.6439)  1 Li 2.07

---

Entry 3:
The following is a GGA-PBE calculation of a relaxed structure of CuC2Cl, from the Alexandria database.

**Mass density**: 3.644 g cm⁻³
**SG**: I-42d, No. 122
**Energy above the lowest structure with this stoichiometry**: 0.000 eV/atom
**DFT total energy**: -64.240 eV for the cell shown
**Formation energy without anion corrections**: 2.083 eV per atom
**Total magnetization**: 0.00 Bohr magnetons per cell
**Volume**: 224.2 Å³ per cell

a = 4.8360 Å, b = 4.8360 Å, c = 9.5882 Å
α = 90.00°, β = 90.00°, γ = 90.00°
Closest atoms and distances in Å follow each position.
Fractional positions:
Cu (0.0000, 0.0000, 0.0000)  4 C 1.89
Cu (0.0000, 0.5000, 0.2500)  4 C 1.89
Cu (0.5000, 0.0000, 0.7500)  4 C 1.89
Cu (0.5000, 0.5000, 0.5000)  4 C 1.89
C (0.1706, 0.2500, 0.1250)  2 Cu 1.89
C (0.2500, 0.6706, 0.3750)  2 Cu 1.89
C (0.2500, 0.8294, 0.8750)  2 Cu 1.89
C (0.3294, 0.2500, 0.6250)  2 Cu 1.89
C (0.6706, 0.7500, 0.6250)  2 Cu 1.89
C (0.7500, 0.1706, 0.8750)  2 Cu 1.89
C (0.7500, 0.3294, 0.3750)  2 Cu 1.89
C (0.8294, 0.7500, 0.1250)  2 Cu 1.89
Cl (0.0000, 0.0000, 0.5000)  4 C 2.33
Cl (0.0000, 0.5000, 0.7500)  4 C 2.33
Cl (0.5000, 0.0000, 0.2500)  4 C 2.33
Cl (0.5000, 0.5000, 0.0000)  4 C 2.33

---

Entry 4:
The following is a GGA-PBE calculation of a relaxed structure of K2Ca2Pt, from the Alexandria database.

**Mass density**: 2.836 g cm⁻³
**SG**: P4/mbm, No. 127
**Energy of formation from the pure elements**: -73 kJ/mol of formula units
**DFT total energy**: -25.992 eV for the cell shown
**Total magnetization**: 0.00 Bohr magnetons per cell
**Volume**: 413.9 Å³ per cell

a = 7.6781 Å, b = 7.6781 Å, c = 7.0204 Å
α = 90.00°, β = 90.00°, γ = 90.00°
Closest atoms and distances in Å follow each position.
Fractional positions:
K (0.1854, 0.3146, 0.0000)  2 Ca 3.80, 5 K 3.97-4.03
K (0.3146, 0.8146, 0.0000)  2 Ca 3.80, 5 K 3.97-4.03
K (0.6854, 0.1854, 0.0000)  2 Ca 3.80, 5 K 3.97-4.03
K (0.8146, 0.6854, 0.0000)  2 Ca 3.80, 5 K 3.97-4.03
Ca (0.1802, 0.6802, 0.5000)  2 Pt 2.82
Ca (0.3198, 0.1802, 0.5000)  2 Pt 2.82
Ca (0.6802, 0.8198, 0.5000)  2 Pt 2.82
Ca (0.8198, 0.3198, 0.5000)  2 Pt 2.82
Pt (0.0000, 0.0000, 0.5000)  4 Ca 2.82
Pt (0.5000, 0.5000, 0.5000)  4 Ca 2.82

---

Look up the total magnetization of the fourth one.
0.00 Bohr magnetons per cell

---

Which value of mass density does entry 4 give?
2.836 g cm⁻³